BaPdBr4 | GGA-PBE | optimized geometry

The space group is I-4 (No. 82) and the conventional cell measures 7.532, 7.532 and 8.185 Å, with angles of 90.00, 90.00 and 90.00 degrees. The asymmetric unit holds Ba at (0.000, 0.000, 0.000), Pd at (0.000, 0.500, 0.750) and Br at (0.231, 0.267, 0.749).

The total magnetization is 0.00 μB per atom. The value obtained for the polymorph energy (0 for the lowest one) is 0 meV per atom. The calculation puts the uncorrected formation energy at -1.23 eV per atom.

***

BaPdBr | GGA-PBE | optimized geometry

The space group is R-3m (No. 166, hexagonal axes) and the conventional cell measures 4.6218, 4.6218 and 34.6974 Å, with angles of 90.00, 90.00 and 120.00 degrees. The asymmetric unit holds Ba at (0.0000, 0.0000, 0.0657), Pd at (0.0000, 0.0000, 0.3338) and Br at (0.0000, 0.0000, 0.2163).

The total magnetization is 0.00 μB per atom. The calculation puts the uncorrected formation energy at -1.24 eV per atom.

***

BaPd2Br | GGA-PBE | optimized geometry

The space group is I-42d (No. 122) and the conventional cell measures 4.968, 4.968 and 18.879 Å, with angles of 90.00, 90.00 and 90.00 degrees. The asymmetric unit holds Ba at (0.000, 0.000, 0.000), Pd at (0.091, 0.250, 0.625) and Br at (0.000, 0.000, 0.500).

The total magnetization is 0.00 μB per atom. The calculation puts the uncorrected formation energy at -0.41 eV per atom.

***

Ba8Pd3Br | GGA-PBE | optimized geometry

The space group is C2/m (No. 12) and the conventional cell measures 16.058, 9.438 and 9.324 Å, with angles of 90.00, 124.38 and 90.00 degrees. The asymmetric unit holds Ba at (0.008, 0.235, 0.256), Ba at (0.243, 0.000, 0.726), Ba at (0.244, 0.000, 0.257), Pd at (0.000, 0.000, 0.000), Pd at (0.250, 0.250, 0.500) and Br at (0.000, 0.500, 0.000).

The total magnetization is 0.00 μB per atom. The calculation puts the uncorrected formation energy at -0.57 eV per atom.

***

BaPd3Br | GGA-PBE | optimized geometry

The space group is Pm-3m (No. 221) and the conventional cell measures 5.008, 5.008 and 5.008 Å, with angles of 90.00, 90.00 and 90.00 degrees. The asymmetric unit holds Ba at (0.000, 0.000, 0.000), Pd at (0.000, 0.500, 0.500) and Br at (0.500, 0.500, 0.500).

The total magnetization is 0.00 μB per atom. The value obtained for the polymorph energy (0 for the lowest one) is 0 meV per atom. The calculation puts the uncorrected formation energy at -0.09 eV per atom.

***

Ba3PdBr2 | GGA-PBE | optimized geometry

The space group is Immm (No. 71) and the conventional cell measures 4.531, 6.664 and 15.639 Å, with angles of 90.00, 90.00 and 90.00 degrees. The asymmetric unit holds Ba at (0.000, 0.000, 0.000), Ba at (0.000, 0.000, 0.360), Pd at (0.000, 0.500, 0.000) and Br at (0.000, 0.500, 0.319).

The total magnetization is 0.00 μB per atom. The calculation puts the uncorrected formation energy at -1.27 eV per atom.

***

BaPd3Br | GGA-PBE | optimized geometry

The space group is Pm-3m (No. 221) and the conventional cell measures 5.466, 5.466 and 5.466 Å, with angles of 90.00, 90.00 and 90.00 degrees. The asymmetric unit holds Ba at (0.000, 0.000, 0.000), Pd at (0.000, 0.000, 0.500) and Br at (0.500, 0.500, 0.500).

The total magnetization is 0.00 μB per atom. The value obtained for the polymorph energy (0 for the lowest one) is 897 meV per atom. The calculation puts the uncorrected formation energy at 0.81 eV per atom.

***

Ba2PdBr6 | GGA-PBE | optimized geometry

The space group is P4_2/mnm (No. 136) and the conventional cell measures 7.525, 7.525 and 13.499 Å, with angles of 90.00, 90.00 and 90.00 degrees. The asymmetric unit holds Ba at (0.000, 0.000, 0.167), Pd at (0.000, 0.000, 0.500), Br at (0.169, 0.169, 0.369) and Br at (0.198, 0.198, 0.000).

The total magnetization is 0.00 μB per atom. The value obtained for the polymorph energy (0 for the lowest one) is 149 meV per atom. The calculation puts the uncorrected formation energy at -1.41 eV per atom.

***

What did the first record say?
BaPdBr4 | GGA-PBE | optimized geometry

The space group is I-4 (No. 82) and the conventional cell measures 7.532, 7.532 and 8.185 Å, with angles of 90.00, 90.00 and 90.00 degrees. The asymmetric unit holds Ba at (0.000, 0.000, 0.000), Pd at (0.000, 0.500, 0.750) and Br at (0.231, 0.267, 0.749).

The total magnetization is 0.00 μB per atom. The value obtained for the polymorph energy (0 for the lowest one) is 0 meV per atom. The calculation puts the uncorrected formation energy at -1.23 eV per atom.

***

Question: Which formula does entry 4 have?
Answer: Ba8Pd3Br